1.
# SrY3In

Crystalline SrY3In at its relaxed geometry (PBE-GGA, the Alexandria database).

Calculated values
SG: Pm-3m (221)
calculated volume: 201 Å³ per cell

Cell lengths 5.860, 5.860, 5.860 Å; angles 90.00, 90.00, 90.00 degrees
Fractional positions:
1 Sr 0.000 0.000 0.000
2 Y 0.000 0.500 0.500
3 Y 0.500 0.000 0.500
4 Y 0.500 0.500 0.000
5 In 0.500 0.500 0.500

=====

2.
# SrY2In

Crystalline SrY2In at its relaxed geometry (PBE-GGA, the Alexandria database).

Calculated values
SG: C2/m (12)
calculated volume: 131 Å³ per cell

Cell lengths 6.888, 6.888, 3.526 Å; angles 103.14, 103.14, 119.03 degrees
Fractional positions:
1 Sr 0.000 0.000 0.000
2 Y 0.000 0.500 0.500
3 Y 0.500 0.000 0.500
4 In 0.500 0.500 0.000

=====

3.
# SrY3In

Crystalline SrY3In at its relaxed geometry (PBE-GGA, the Alexandria database).

Calculated values
SG: Pm-3m (221)
calculated volume: 180 Å³ per cell

Cell lengths 5.645, 5.645, 5.645 Å; angles 90.00, 90.00, 90.00 degrees
Fractional positions:
1 Sr 0.000 0.000 0.000
2 Y 0.000 0.000 0.500
3 Y 0.000 0.500 0.000
4 Y 0.500 0.000 0.000
5 In 0.500 0.500 0.500

=====

4.
# SrY2In2

Crystalline SrY2In2 at its relaxed geometry (PBE-GGA, the Alexandria database).

Calculated values
SG: I4/mmm (139)
calculated volume: 167 Å³ per cell

Cell lengths 7.766, 7.766, 7.766 Å; angles 143.27, 143.27, 52.92 degrees
Fractional positions:
1 Sr 0.000 0.000 0.000
2 Y 0.250 0.750 0.500
3 Y 0.750 0.250 0.500
4 In 0.398 0.398 0.000
5 In 0.602 0.602 0.000

=====

5.
# SrYIn

Crystalline SrYIn at its relaxed geometry (PBE-GGA, the Alexandria database).

Calculated values
SG: P3m1 (156)
calculated volume: 197 Å³ per cell

Cell lengths 5.520, 5.520, 7.456 Å; angles 90.00, 90.00, 120.00 degrees
Fractional positions:
1 Sr 0.000 0.000 0.000
2 Sr 0.333 0.667 0.752
3 Y 0.000 0.000 0.493
4 Y 0.667 0.333 0.272
5 In 0.333 0.667 0.262
6 In 0.667 0.333 0.706

=====

6.
# SrYIn

Crystalline SrYIn at its relaxed geometry (PBE-GGA, the Alexandria database).

Calculated values
SG: Pnma (62)
calculated volume: 413 Å³ per cell

Cell lengths 8.429, 5.237, 9.366 Å; angles 90.00, 90.00, 90.00 degrees
Fractional positions:
1 Sr 0.017 0.250 0.183
2 Sr 0.483 0.750 0.683
3 Sr 0.517 0.250 0.317
4 Sr 0.983 0.750 0.817
5 Y 0.150 0.250 0.575
6 Y 0.350 0.750 0.075
7 Y 0.650 0.250 0.925
8 Y 0.850 0.750 0.425
9 In 0.223 0.750 0.395
10 In 0.277 0.250 0.895
11 In 0.723 0.750 0.105
12 In 0.777 0.250 0.605

=====

7.
# SrYIn2

Crystalline SrYIn2 at its relaxed geometry (PBE-GGA, the Alexandria database).

Calculated values
SG: R-3m (166)
calculated volume: 128 Å³ per cell

Cell lengths 10.529, 10.529, 10.529 Å; angles 20.74, 20.74, 20.74 degrees
Fractional positions:
1 Sr 0.000 0.000 0.000
2 Y 0.500 0.500 0.500
3 In 0.246 0.246 0.246
4 In 0.754 0.754 0.754

=====

8.
# SrY2In2

Crystalline SrY2In2 at its relaxed geometry (PBE-GGA, the Alexandria database).

Calculated values
SG: I4/mmm (139)
calculated volume: 182 Å³ per cell

Cell lengths 6.954, 6.954, 6.954 Å; angles 132.07, 132.07, 70.13 degrees
Fractional positions:
1 Sr 0.000 0.000 0.000
2 Y 0.344 0.344 0.000
3 Y 0.656 0.656 0.000
4 In 0.250 0.750 0.500
5 In 0.750 0.250 0.500

=====

9.
# Sr4YIn

Crystalline Sr4YIn at its relaxed geometry (PBE-GGA, the Alexandria database).

Calculated values
SG: F-43m (216)
calculated volume: 262 Å³ per cell

Cell lengths 7.183, 7.183, 7.183 Å; angles 60.00, 60.00, 60.00 degrees
Fractional positions:
1 Sr 0.125 0.125 0.125
2 Sr 0.125 0.125 0.626
3 Sr 0.125 0.626 0.125
4 Sr 0.626 0.125 0.125
5 Y 0.750 0.750 0.750
6 In 0.500 0.500 0.500

=====

10.
# SrY2In

Crystalline SrY2In at its relaxed geometry (PBE-GGA, the Alexandria database).

Calculated values
SG: R-3m (166)
calculated volume: 140 Å³ per cell

Cell lengths 11.532, 11.532, 11.532 Å; angles 18.83, 18.83, 18.83 degrees
Fractional positions:
1 Sr 0.000 0.000 0.000
2 Y 0.235 0.235 0.235
3 Y 0.765 0.765 0.765
4 In 0.500 0.500 0.500

=====

11.
# SrYIn

Crystalline SrYIn at its relaxed geometry (PBE-GGA, the Alexandria database).

Calculated values
SG: Cm (8)
calculated volume: 200 Å³ per cell

Cell lengths 6.502, 6.502, 7.150 Å; angles 115.09, 115.09, 48.48 degrees
Fractional positions:
1 Sr 0.000 0.000 0.000
2 Sr 0.639 0.639 0.822
3 Y 0.374 0.374 0.257
4 Y 0.727 0.727 0.421
5 In 0.023 0.023 0.481
6 In 0.312 0.312 0.719

=====

12.
# SrY2In

Crystalline SrY2In at its relaxed geometry (PBE-GGA, the Alexandria database).

Calculated values
SG: I-42d (122)
calculated volume: 274 Å³ per cell

Cell lengths 12.350, 12.350, 12.350 Å; angles 157.57, 157.57, 31.93 degrees
Fractional positions:
1 Sr 0.000 0.000 0.000
2 Sr 0.750 0.250 0.500
3 Y 0.151 0.625 0.026
4 Y 0.375 0.401 0.526
5 Y 0.599 0.125 0.974
6 Y 0.875 0.849 0.474
7 In 0.250 0.750 0.500
8 In 0.500 0.500 0.000

=====

13.
# SrY2In2

Crystalline SrY2In2 at its relaxed geometry (PBE-GGA, the Alexandria database).

Calculated values
SG: P4/mbm (127)
calculated volume: 305 Å³ per cell

Cell lengths 9.312, 9.312, 3.515 Å; angles 90.00, 90.00, 90.00 degrees
Fractional positions:
1 Sr 0.000 0.000 0.000
2 Sr 0.500 0.500 0.000
3 Y 0.126 0.374 0.000
4 Y 0.374 0.874 0.000
5 Y 0.626 0.126 0.000
6 Y 0.874 0.626 0.000
7 In 0.174 0.674 0.500
8 In 0.326 0.174 0.500
9 In 0.674 0.826 0.500
10 In 0.826 0.326 0.500

=====

14.
# SrYIn

Crystalline SrYIn at its relaxed geometry (PBE-GGA, the Alexandria database).

Calculated values
SG: P3m1 (156)
calculated volume: 102 Å³ per cell

Cell lengths 5.463, 5.463, 3.933 Å; angles 90.00, 90.00, 120.00 degrees
Fractional positions:
1 Sr 0.000 0.000 0.000
2 Y 0.667 0.333 0.459
3 In 0.333 0.667 0.593

=====

15.
# SrY5In6

Crystalline SrY5In6 at its relaxed geometry (PBE-GGA, the Alexandria database).

Calculated values
SG: Immm (71)
calculated volume: 331 Å³ per cell

Cell lengths 9.348, 9.348, 9.348 Å; angles 146.36, 132.42, 59.53 degrees
Fractional positions:
1 Sr 0.000 0.000 0.000
2 Y 0.161 0.661 0.500
3 Y 0.331 0.331 0.000
4 Y 0.500 0.000 0.500
5 Y 0.669 0.669 0.000
6 Y 0.839 0.339 0.500
7 In 0.088 0.829 0.258
8 In 0.267 0.500 0.767
9 In 0.429 0.171 0.258
10 In 0.571 0.829 0.742
11 In 0.733 0.500 0.233
12 In 0.912 0.171 0.742

=====

16.
# Sr3YIn

Crystalline Sr3YIn at its relaxed geometry (PBE-GGA, the Alexandria database).

Calculated values
SG: Pm-3m (221)
calculated volume: 253 Å³ per cell

Cell lengths 6.323, 6.323, 6.323 Å; angles 90.00, 90.00, 90.00 degrees
Fractional positions:
1 Sr 0.000 0.000 0.500
2 Sr 0.000 0.500 0.000
3 Sr 0.500 0.000 0.000
4 Y 0.500 0.500 0.500
5 In 0.000 0.000 0.000

=====

17.
# SrYIn2

Crystalline SrYIn2 at its relaxed geometry (PBE-GGA, the Alexandria database).

Calculated values
SG: P4/mmm (123)
calculated volume: 120 Å³ per cell

Cell lengths 3.894, 3.894, 7.912 Å; angles 90.00, 90.00, 90.00 degrees
Fractional positions:
1 Sr 0.000 0.000 0.000
2 Y 0.000 0.000 0.500
3 In 0.500 0.500 0.276
4 In 0.500 0.500 0.724

=====

18.
# SrYIn

Crystalline SrYIn at its relaxed geometry (PBE-GGA, the Alexandria database).

Calculated values
SG: P4mm (99)
calculated volume: 208 Å³ per cell

Cell lengths 3.844, 3.844, 14.062 Å; angles 90.00, 90.00, 90.00 degrees
Fractional positions:
1 Sr 0.000 0.000 0.000
2 Sr 0.500 0.500 0.247
3 Y 0.500 0.500 0.530
4 Y 0.500 0.500 0.791
5 In 0.000 0.000 0.404
6 In 0.000 0.000 0.664

=====

19.
# Sr8Zn2In3

Crystalline Sr8Zn2In3 at its relaxed geometry (PBE-GGA, the Alexandria database).

Calculated values
SG: Cmmm (65)
calculated volume: 499 Å³ per cell

Cell lengths 9.937, 9.937, 5.997 Å; angles 90.00, 90.00, 122.59 degrees
Fractional positions:
1 Sr 0.104 0.896 0.000
2 Sr 0.159 0.396 0.500
3 Sr 0.317 0.683 0.000
4 Sr 0.396 0.159 0.500
5 Sr 0.604 0.841 0.500
6 Sr 0.683 0.317 0.000
7 Sr 0.841 0.604 0.500
8 Sr 0.896 0.104 0.000
9 Zn 0.229 0.771 0.500
10 Zn 0.771 0.229 0.500
11 In 0.000 0.000 0.500
12 In 0.333 0.333 0.000
13 In 0.667 0.667 0.000

=====

20.
# Sr2ZnIn

Crystalline Sr2ZnIn at its relaxed geometry (PBE-GGA, the Alexandria database).

Calculated values
SG: Pmmm (47)
calculated volume: 128 Å³ per cell

Cell lengths 3.892, 4.023, 8.158 Å; angles 90.00, 90.00, 90.00 degrees
Fractional positions:
1 Sr 0.000 0.000 0.238
2 Sr 0.000 0.000 0.762
3 Zn 0.500 0.500 0.000
4 In 0.500 0.500 0.500

=====

21.
# SrZn3In3

Crystalline SrZn3In3 at its relaxed geometry (PBE-GGA, the Alexandria database).

Calculated values
SG: P2_1/m (11)
calculated volume: 343 Å³ per cell

Cell lengths 9.237, 4.626, 9.257 Å; angles 90.00, 119.91, 90.00 degrees
Fractional positions:
1 Sr 0.166 0.250 0.333
2 Sr 0.834 0.750 0.667
3 Zn 0.028 0.250 0.591
4 Zn 0.090 0.750 0.062
5 Zn 0.437 0.750 0.528
6 Zn 0.563 0.250 0.472
7 Zn 0.910 0.250 0.938
8 Zn 0.972 0.750 0.409
9 In 0.227 0.250 0.947
10 In 0.280 0.750 0.726
11 In 0.447 0.750 0.220
12 In 0.553 0.250 0.780
13 In 0.720 0.250 0.274
14 In 0.773 0.750 0.053

=====

22.
# Sr3Zn2In

Crystalline Sr3Zn2In at its relaxed geometry (PBE-GGA, the Alexandria database).

Calculated values
SG: P4/mmm (123)
calculated volume: 188 Å³ per cell

Cell lengths 3.990, 3.990, 11.805 Å; angles 90.00, 90.00, 90.00 degrees
Fractional positions:
1 Sr 0.000 0.000 0.000
2 Sr 0.000 0.000 0.325
3 Sr 0.000 0.000 0.675
4 Zn 0.500 0.500 0.166
5 Zn 0.500 0.500 0.834
6 In 0.500 0.500 0.500

=====

23.
# Sr3Zn3In

Crystalline Sr3Zn3In at its relaxed geometry (PBE-GGA, the Alexandria database).

Calculated values
SG: Cmcm (63)
calculated volume: 408 Å³ per cell

Cell lengths 6.232, 6.232, 14.947 Å; angles 90.00, 90.00, 135.30 degrees
Fractional positions:
1 Sr 0.004 0.996 0.750
2 Sr 0.285 0.715 0.103
3 Sr 0.285 0.715 0.397
4 Sr 0.715 0.285 0.603
5 Sr 0.715 0.285 0.897
6 Sr 0.996 0.004 0.250
7 Zn 0.305 0.695 0.750
8 Zn 0.427 0.573 0.597
9 Zn 0.427 0.573 0.903
10 Zn 0.573 0.427 0.097
11 Zn 0.573 0.427 0.403
12 Zn 0.695 0.305 0.250
13 In 0.000 0.000 0.000
14 In 0.000 0.000 0.500

=====

24.
# Sr2ZnIn

Crystalline Sr2ZnIn at its relaxed geometry (PBE-GGA, the Alexandria database).

Calculated values
SG: I-42d (122)
calculated volume: 295 Å³ per cell

Cell lengths 7.308, 7.308, 7.308 Å; angles 105.22, 105.22, 118.35 degrees
Fractional positions:
1 Sr 0.103 0.125 0.478
2 Sr 0.375 0.897 0.022
3 Sr 0.647 0.625 0.522
4 Sr 0.875 0.353 0.978
5 Zn 0.000 0.000 0.000
6 Zn 0.750 0.250 0.500
7 In 0.250 0.750 0.500
8 In 0.500 0.500 0.000

=====

25.
# Sr2ZnIn

Crystalline Sr2ZnIn at its relaxed geometry (PBE-GGA, the Alexandria database).

Calculated values
SG: I-4m2 (119)
calculated volume: 128 Å³ per cell

Cell lengths 6.283, 6.283, 6.283 Å; angles 133.61, 133.61, 67.69 degrees
Fractional positions:
1 Sr 0.000 0.000 0.000
2 Sr 0.750 0.250 0.500
3 Zn 0.250 0.750 0.500
4 In 0.500 0.500 0.000

=====

26.
# Sr2ZnIn

Crystalline Sr2ZnIn at its relaxed geometry (PBE-GGA, the Alexandria database).

Calculated values
SG: Immm (71)
calculated volume: 170 Å³ per cell

Cell lengths 7.665, 7.665, 7.665 Å; angles 150.57, 129.16, 59.84 degrees
Fractional positions:
1 Sr 0.233 0.233 0.000
2 Sr 0.767 0.767 0.000
3 Zn 0.000 0.000 0.000
4 In 0.500 0.500 0.000

=====

Number 1: Fermi-level density of states 6.64 states/eV/f.u., magnetization 0.0 μB/f.u., raw total energy -4.548 eV/atom. Number 2: Fermi-level density of states 5.10 states/eV/f.u., magnetization 0.0 μB/f.u., raw total energy -4.345 eV/atom. Number 3: Fermi-level density of states 2.28 states/eV/f.u., magnetization 0.0 μB/f.u., raw total energy -3.708 eV/atom. Number 4: Fermi-level density of states 6.25 states/eV/f.u., magnetization 0.2 μB/f.u., raw total energy -4.275 eV/atom. Number 5: Fermi-level density of states 0.57 states/eV/f.u., magnetization 0.0 μB/f.u., raw total energy -3.920 eV/atom. Number 6: Fermi-level density of states 0.02 states/eV/f.u., magnetization 0.0 μB/f.u., raw total energy -3.963 eV/atom. Number 7: Fermi-level density of states 3.11 states/eV/f.u., magnetization 0.0 μB/f.u., raw total energy -3.671 eV/atom. Number 8: Fermi-level density of states 3.90 states/eV/f.u., magnetization 0.9 μB/f.u., raw total energy -4.083 eV/atom. Number 9: Fermi-level density of states 8.31 states/eV/f.u., magnetization 1.9 μB/f.u., raw total energy -2.263 eV/atom. Number 10: Fermi-level density of states 4.86 states/eV/f.u., magnetization 0.0 μB/f.u., raw total energy -4.384 eV/atom. Number 11: Fermi-level density of states 1.45 states/eV/f.u., magnetization 0.0 μB/f.u., raw total energy -3.850 eV/atom. Number 12: Fermi-level density of states 6.13 states/eV/f.u., magnetization 0.0 μB/f.u., raw total energy -4.161 eV/atom. Number 13: Fermi-level density of states 3.52 states/eV/f.u., magnetization 0.0 μB/f.u., raw total energy -4.359 eV/atom. Number 14: Fermi-level density of states 1.90 states/eV/f.u., magnetization 0.0 μB/f.u., raw total energy -3.784 eV/atom. Number 15: Fermi-level density of states 7.55 states/eV/f.u., magnetization 0.0 μB/f.u., raw total energy -4.670 eV/atom. Number 16: Fermi-level density of states 6.63 states/eV/f.u., magnetization 1.6 μB/f.u., raw total energy -2.563 eV/atom. Number 17: Fermi-level density of states 2.20 states/eV/f.u., magnetization 0.0 μB/f.u., raw total energy -3.868 eV/atom. Number 18: Fermi-level density of states 3.03 states/eV/f.u., magnetization 0.0 μB/f.u., raw total energy -3.906 eV/atom. Number 19: Fermi-level density of states 14.45 states/eV/f.u., magnetization 0.0 μB/f.u., raw total energy -2.038 eV/atom. Number 20: Fermi-level density of states 3.04 states/eV/f.u., magnetization 0.0 μB/f.u., raw total energy -2.148 eV/atom. Number 21: Fermi-level density of states 3.09 states/eV/f.u., magnetization 0.0 μB/f.u., raw total energy -2.030 eV/atom. Number 22: Fermi-level density of states 4.42 states/eV/f.u., magnetization 0.0 μB/f.u., raw total energy -1.985 eV/atom. Number 23: Fermi-level density of states 4.07 states/eV/f.u., magnetization 0.0 μB/f.u., raw total energy -1.934 eV/atom. Number 24: Fermi-level density of states 5.06 states/eV/f.u., magnetization 0.0 μB/f.u., raw total energy -1.843 eV/atom. Number 25: Fermi-level density of states 3.45 states/eV/f.u., magnetization 0.0 μB/f.u., raw total energy -1.962 eV/atom. Number 26: Fermi-level density of states 4.95 states/eV/f.u., magnetization 0.0 μB/f.u., raw total energy -1.431 eV/atom.